[1]
First-principles (PBE-GGA) data for an optimized crystal structure of Sr2TlAs, as listed in Alexandria.

The structure in CIF format:
```
data_Sr2TlAs
_cell_length_a 5.6168
_cell_length_b 5.6168
_cell_length_c 5.6168
_cell_angle_alpha 60.00
_cell_angle_beta 60.00
_cell_angle_gamma 60.00
_symmetry_space_group_name_H-M 'P 1'
_symmetry_Int_Tables_number 1
loop_
_symmetry_equiv_pos_as_xyz
'x,y,z'
loop_
_atom_site_label
_atom_site_type_symbol
_atom_site_fract_x
_atom_site_fract_y
_atom_site_fract_z
Sr1 Sr 0.2500 0.2500 0.2500
Sr2 Sr 0.7500 0.7500 0.7500
Tl1 Tl 0.5000 0.5000 0.5000
As1 As 0.0000 0.0000 0.0000
```

Calculated formation energy: -0.57 eV per atom
Total energy: -12.7 eV per formula unit
Space group: Fm-3m (225)
Offset from the most stable computed form: 135 meV per atom
Density of states at the Fermi level: 0.89 states/eV/atom

[2]
First-principles (PBE-GGA) data for an optimized crystal structure of Sr2TlAs, as listed in Alexandria.

The structure in CIF format:
```
data_Sr2TlAs
_cell_length_a 5.3734
_cell_length_b 4.2740
_cell_length_c 5.3733
_cell_angle_alpha 90.00
_cell_angle_beta 90.00
_cell_angle_gamma 90.00
_symmetry_space_group_name_H-M 'P 1'
_symmetry_Int_Tables_number 1
loop_
_symmetry_equiv_pos_as_xyz
'x,y,z'
loop_
_atom_site_label
_atom_site_type_symbol
_atom_site_fract_x
_atom_site_fract_y
_atom_site_fract_z
Sr1 Sr 0.0000 0.1251 0.8752
Sr2 Sr 0.5000 0.1251 0.3751
Tl1 Tl 0.0000 0.6251 0.3750
As1 As 0.5000 0.6247 0.8747
```

Calculated formation energy: -0.65 eV per atom
Total energy: -13.0 eV per formula unit
Space group: P4/mmm (123)
Offset from the most stable computed form: 62 meV per atom
Density of states at the Fermi level: 0.57 states/eV/atom

[3]
First-principles (PBE-GGA) data for an optimized crystal structure of SrTl2As, as listed in Alexandria.

The structure in CIF format:
```
data_SrTl2As
_cell_length_a 8.8327
_cell_length_b 8.8327
_cell_length_c 7.0066
_cell_angle_alpha 50.93
_cell_angle_beta 50.93
_cell_angle_gamma 90.00
_symmetry_space_group_name_H-M 'P 1'
_symmetry_Int_Tables_number 1
loop_
_symmetry_equiv_pos_as_xyz
'x,y,z'
loop_
_atom_site_label
_atom_site_type_symbol
_atom_site_fract_x
_atom_site_fract_y
_atom_site_fract_z
Sr1 Sr 0.0000 0.0000 0.0000
Sr2 Sr 0.7500 0.2500 0.5000
Tl1 Tl 0.5779 0.1250 0.2500
Tl2 Tl 0.1721 0.6250 0.2500
Tl3 Tl 0.3750 0.4221 0.7500
Tl4 Tl 0.8750 0.8279 0.7500
As1 As 0.5000 0.5000 0.0000
As2 As 0.2500 0.7500 0.5000
```

Calculated formation energy: -0.36 eV per atom
Total energy: -12.5 eV per formula unit
Space group: I-42d (122)
Offset from the most stable computed form: 97 meV per atom
Density of states at the Fermi level: 0.35 states/eV/atom

[4]
First-principles (PBE-GGA) data for an optimized crystal structure of SrTl2As2, as listed in Alexandria.

The structure in CIF format:
```
data_SrTl2As2
_cell_length_a 4.5062
_cell_length_b 4.5062
_cell_length_c 7.9321
_cell_angle_alpha 73.50
_cell_angle_beta 73.50
_cell_angle_gamma 90.00
_symmetry_space_group_name_H-M 'P 1'
_symmetry_Int_Tables_number 1
loop_
_symmetry_equiv_pos_as_xyz
'x,y,z'
loop_
_atom_site_label
_atom_site_type_symbol
_atom_site_fract_x
_atom_site_fract_y
_atom_site_fract_z
Sr1 Sr 0.0000 0.0000 0.0000
Tl1 Tl 0.7500 0.2500 0.5000
Tl2 Tl 0.2500 0.7500 0.5000
As1 As 0.4153 0.4153 0.1693
As2 As 0.5847 0.5847 0.8307
```

Calculated formation energy: -0.37 eV per atom
Total energy: -17.6 eV per formula unit
Space group: I4/mmm (139)
Offset from the most stable computed form: 0 meV per atom
Density of states at the Fermi level: 0.45 states/eV/atom

[5]
First-principles (PBE-GGA) data for an optimized crystal structure of SrTl4As, as listed in Alexandria.

The structure in CIF format:
```
data_SrTl4As
_cell_length_a 6.4279
_cell_length_b 6.4279
_cell_length_c 6.4279
_cell_angle_alpha 60.00
_cell_angle_beta 60.00
_cell_angle_gamma 60.00
_symmetry_space_group_name_H-M 'P 1'
_symmetry_Int_Tables_number 1
loop_
_symmetry_equiv_pos_as_xyz
'x,y,z'
loop_
_atom_site_label
_atom_site_type_symbol
_atom_site_fract_x
_atom_site_fract_y
_atom_site_fract_z
Sr1 Sr 0.0000 0.0000 0.0000
Tl1 Tl 0.8726 0.3758 0.3758
Tl2 Tl 0.3758 0.3758 0.8726
Tl3 Tl 0.3758 0.8726 0.3758
Tl4 Tl 0.3758 0.3758 0.3758
As1 As 0.7500 0.7500 0.7500
```

Calculated formation energy: 0.01 eV per atom
Total energy: -15.7 eV per formula unit
Space group: F-43m (216)
Density of states at the Fermi level: 0.60 states/eV/atom

[6]
First-principles (PBE-GGA) data for an optimized crystal structure of SrTlAs2, as listed in Alexandria.

The structure in CIF format:
```
data_SrTlAs2
_cell_length_a 7.8991
_cell_length_b 7.8991
_cell_length_c 6.6876
_cell_angle_alpha 53.80
_cell_angle_beta 53.80
_cell_angle_gamma 90.00
_symmetry_space_group_name_H-M 'P 1'
_symmetry_Int_Tables_number 1
loop_
_symmetry_equiv_pos_as_xyz
'x,y,z'
loop_
_atom_site_label
_atom_site_type_symbol
_atom_site_fract_x
_atom_site_fract_y
_atom_site_fract_z
Sr1 Sr 0.5000 0.5000 0.0000
Sr2 Sr 0.2500 0.7500 0.5000
Tl1 Tl 0.0000 0.0000 0.0000
Tl2 Tl 0.7500 0.2500 0.5000
As1 As 0.6651 0.1250 0.2500
As2 As 0.0849 0.6250 0.2500
As3 As 0.3750 0.3349 0.7500
As4 As 0.8750 0.9151 0.7500
```

Calculated formation energy: -0.30 eV per atom
Total energy: -14.5 eV per formula unit
Space group: I-42d (122)
Offset from the most stable computed form: 171 meV per atom
Density of states at the Fermi level: 0.77 states/eV/atom

[7]
First-principles (PBE-GGA) data for an optimized crystal structure of Sr2TlAs, as listed in Alexandria.

The structure in CIF format:
```
data_Sr2TlAs
_cell_length_a 4.0669
_cell_length_b 4.0494
_cell_length_c 8.5083
_cell_angle_alpha 61.57
_cell_angle_beta 90.00
_cell_angle_gamma 90.00
_symmetry_space_group_name_H-M 'P 1'
_symmetry_Int_Tables_number 1
loop_
_symmetry_equiv_pos_as_xyz
'x,y,z'
loop_
_atom_site_label
_atom_site_type_symbol
_atom_site_fract_x
_atom_site_fract_y
_atom_site_fract_z
Sr1 Sr 0.0000 0.0332 0.9667
Sr2 Sr 0.0000 0.4668 0.5333
Tl1 Tl 0.5000 0.2500 0.2500
As1 As 0.5000 0.7500 0.7500
```

Calculated formation energy: -0.71 eV per atom
Total energy: -13.2 eV per formula unit
Space group: Pmmm (47)
Offset from the most stable computed form: 0 meV per atom
Density of states at the Fermi level: 0.61 states/eV/atom

[8]
First-principles (PBE-GGA) data for an optimized crystal structure of SrTl2As, as listed in Alexandria.

The structure in CIF format:
```
data_SrTl2As
_cell_length_a 4.1024
_cell_length_b 4.1024
_cell_length_c 7.0171
_cell_angle_alpha 90.00
_cell_angle_beta 90.00
_cell_angle_gamma 90.00
_symmetry_space_group_name_H-M 'P 1'
_symmetry_Int_Tables_number 1
loop_
_symmetry_equiv_pos_as_xyz
'x,y,z'
loop_
_atom_site_label
_atom_site_type_symbol
_atom_site_fract_x
_atom_site_fract_y
_atom_site_fract_z
Sr1 Sr 0.5000 0.5000 0.7186
Tl1 Tl 0.0000 0.0000 0.0392
Tl2 Tl 0.5000 0.5000 0.2613
As1 As 0.0000 0.0000 0.4809
```

Calculated formation energy: -0.31 eV per atom
Total energy: -12.3 eV per formula unit
Space group: P4mm (99)
Offset from the most stable computed form: 147 meV per atom
Density of states at the Fermi level: 0.51 states/eV/atom

[9]
First-principles (PBE-GGA) data for an optimized crystal structure of Sr4Tl2As, as listed in Alexandria.

The structure in CIF format:
```
data_Sr4Tl2As
_cell_length_a 5.9743
_cell_length_b 5.9743
_cell_length_c 9.3019
_cell_angle_alpha 71.27
_cell_angle_beta 71.27
_cell_angle_gamma 90.00
_symmetry_space_group_name_H-M 'P 1'
_symmetry_Int_Tables_number 1
loop_
_symmetry_equiv_pos_as_xyz
'x,y,z'
loop_
_atom_site_label
_atom_site_type_symbol
_atom_site_fract_x
_atom_site_fract_y
_atom_site_fract_z
Sr1 Sr 0.1836 0.1836 0.6328
Sr2 Sr 0.8164 0.8164 0.3672
Sr3 Sr 0.0000 0.5000 0.0000
Sr4 Sr 0.5000 0.0000 0.0000
Tl1 Tl 0.3859 0.3859 0.2283
Tl2 Tl 0.6141 0.6141 0.7717
As1 As 0.0000 0.0000 0.0000
```

Calculated formation energy: -0.44 eV per atom
Total energy: -19.2 eV per formula unit
Space group: I4/mmm (139)
Density of states at the Fermi level: 1.17 states/eV/atom

[10]
First-principles (PBE-GGA) data for an optimized crystal structure of SrTl2As, as listed in Alexandria.

The structure in CIF format:
```
data_SrTl2As
_cell_length_a 6.4501
_cell_length_b 6.4501
_cell_length_c 5.9405
_cell_angle_alpha 56.78
_cell_angle_beta 56.78
_cell_angle_gamma 38.10
_symmetry_space_group_name_H-M 'P 1'
_symmetry_Int_Tables_number 1
loop_
_symmetry_equiv_pos_as_xyz
'x,y,z'
loop_
_atom_site_label
_atom_site_type_symbol
_atom_site_fract_x
_atom_site_fract_y
_atom_site_fract_z
Sr1 Sr 0.2014 0.2014 0.2406
Tl1 Tl 0.0142 0.0142 0.9704
Tl2 Tl 0.8014 0.8014 0.6310
As1 As 0.4829 0.4829 0.6580
```

Calculated formation energy: -0.38 eV per atom
Total energy: -12.6 eV per formula unit
Space group: Cm (8)
Offset from the most stable computed form: 75 meV per atom
Density of states at the Fermi level: 0.52 states/eV/atom

[11]
First-principles (PBE-GGA) data for an optimized crystal structure of SrTl2As, as listed in Alexandria.

The structure in CIF format:
```
data_SrTl2As
_cell_length_a 5.3585
_cell_length_b 4.8182
_cell_length_c 4.8135
_cell_angle_alpha 82.40
_cell_angle_beta 90.00
_cell_angle_gamma 90.00
_symmetry_space_group_name_H-M 'P 1'
_symmetry_Int_Tables_number 1
loop_
_symmetry_equiv_pos_as_xyz
'x,y,z'
loop_
_atom_site_label
_atom_site_type_symbol
_atom_site_fract_x
_atom_site_fract_y
_atom_site_fract_z
Sr1 Sr 0.5000 0.7500 0.7500
Tl1 Tl 0.0000 0.0352 0.0352
Tl2 Tl 0.0000 0.4648 0.4648
As1 As 0.5000 0.2500 0.2500
```

Calculated formation energy: -0.38 eV per atom
Total energy: -12.6 eV per formula unit
Space group: Cmmm (65)
Offset from the most stable computed form: 79 meV per atom
Density of states at the Fermi level: 0.49 states/eV/atom

[12]
First-principles (PBE-GGA) data for an optimized crystal structure of SrTlAs, as listed in Alexandria.

The structure in CIF format:
```
data_SrTlAs
_cell_length_a 5.2235
_cell_length_b 5.2235
_cell_length_c 5.2235
_cell_angle_alpha 60.00
_cell_angle_beta 60.00
_cell_angle_gamma 60.00
_symmetry_space_group_name_H-M 'P 1'
_symmetry_Int_Tables_number 1
loop_
_symmetry_equiv_pos_as_xyz
'x,y,z'
loop_
_atom_site_label
_atom_site_type_symbol
_atom_site_fract_x
_atom_site_fract_y
_atom_site_fract_z
Sr1 Sr 0.7500 0.7500 0.7500
Tl1 Tl 0.0000 0.0000 0.0000
As1 As 0.5000 0.5000 0.5000
```

Calculated formation energy: -0.34 eV per atom
Total energy: -9.7 eV per formula unit
Space group: F-43m (216)

[13]
First-principles (PBE-GGA) data for an optimized crystal structure of SrTlAs2, as listed in Alexandria.

The structure in CIF format:
```
data_SrTlAs2
_cell_length_a 4.5029
_cell_length_b 4.8825
_cell_length_c 5.9278
_cell_angle_alpha 65.66
_cell_angle_beta 90.00
_cell_angle_gamma 90.00
_symmetry_space_group_name_H-M 'P 1'
_symmetry_Int_Tables_number 1
loop_
_symmetry_equiv_pos_as_xyz
'x,y,z'
loop_
_atom_site_label
_atom_site_type_symbol
_atom_site_fract_x
_atom_site_fract_y
_atom_site_fract_z
Sr1 Sr 0.0000 0.4920 0.3913
Tl1 Tl 0.5000 0.7644 0.8459
As1 As 0.0000 0.1850 0.0052
As2 As 0.5000 0.0585 0.2576
```

Calculated formation energy: -0.44 eV per atom
Total energy: -15.1 eV per formula unit
Space group: Amm2 (38)
Offset from the most stable computed form: 23 meV per atom
Density of states at the Fermi level: 0.38 states/eV/atom

[14]
First-principles (PBE-GGA) data for an optimized crystal structure of SrTl2As, as listed in Alexandria.

The structure in CIF format:
```
data_SrTl2As
_cell_length_a 8.6056
_cell_length_b 8.6056
_cell_length_c 8.6056
_cell_angle_alpha 29.38
_cell_angle_beta 29.38
_cell_angle_gamma 29.38
_symmetry_space_group_name_H-M 'P 1'
_symmetry_Int_Tables_number 1
loop_
_symmetry_equiv_pos_as_xyz
'x,y,z'
loop_
_atom_site_label
_atom_site_type_symbol
_atom_site_fract_x
_atom_site_fract_y
_atom_site_fract_z
Sr1 Sr 0.7707 0.7707 0.7707
Tl1 Tl 0.9924 0.9924 0.9924
Tl2 Tl 0.2330 0.2330 0.2330
As1 As 0.5040 0.5040 0.5040
```

Calculated formation energy: -0.28 eV per atom
Total energy: -12.2 eV per formula unit
Space group: R3m (160)
Offset from the most stable computed form: 181 meV per atom
Density of states at the Fermi level: 0.63 states/eV/atom